A plane-wave DFT calculation with PBE was carried out for ScCuB2Pt after structural relaxation.

Summary:
Formation enthalpy at 0 K (eV per atom): 1.8341

a = 4.208 Å, b = 4.208 Å, c = 4.605 Å
α = 90.00°, β = 90.00°, γ = 90.00°
Fractional coordinates of all 5 atoms:
Sc1 0.000 0.000 0.000
B1 0.000 0.500 0.000
B2 0.500 0.000 0.000
Cu1 0.000 0.000 0.500
Pt1 0.500 0.500 0.500